Material: PuHgTe2
Method: DFT, PBE
State: relaxed

abc: 5.180 5.180 4.033
angles: 90.00 90.00 90.00
Space group P4/mmm (No. 123)
Symmetry-distinct sites (fractional):
Pu1 0.000 0.000 0.000 [1 per cell]
Hg1 0.500 0.500 0.000 [1 per cell]
Te1 0.000 0.500 0.500 [2 per cell]

The value obtained for the density of states at the Fermi level is 9.2 states/eV/cell. The relative energy among the computed polymorphs is 0.071 eV per atom. For the calculated density, the calculation gives 10.740 g/cm3. The value obtained for the uncorrected formation energy is -519 meV per atom.

=====

Material: PuHgTe2
Method: DFT, PBE
State: relaxed

abc: 4.4221 4.4221 24.0337
angles: 90.00 90.00 120.00
Space group R-3m (No. 166, hexagonal axes)
Symmetry-distinct sites (fractional):
Pu1 0.0000 0.0000 0.0000 [3 per cell]
Hg1 0.0000 0.0000 0.5000 [3 per cell]
Te1 0.0000 0.0000 0.2605 [6 per cell]

The value obtained for the density of states at the Fermi level is 41.9 states/eV/cell. The relative energy among the computed polymorphs is 0.057 eV per atom. For the calculated density, the calculation gives 8.565 g/cm3. The value obtained for the uncorrected formation energy is -532 meV per atom.